First-principles (PBE) data for an optimized crystal structure of KMnGeCl5, as listed in Alexandria.

Unit cell a=8.439 b=11.712 c=9.143 alpha=90.00 beta=101.66 gamma=90.00
Space group C2/c (No. 15)
Asymmetric unit:
K 0.000 0.151 0.250 x4
Mn 0.000 0.500 0.000 x4
Ge 0.000 0.161 0.750 x4
Cl 0.000 0.417 0.250 x4
Cl 0.117 0.298 0.612 x8
Cl 0.213 0.067 0.987 x8

Summary:
**Uncorrected energy**: -4.17 eV per atom
**Energy relative to the elements, uncorrected**: -1.152 eV/atom